Here is a PBEsol-optimized structure of NaCoSi3 from Alexandria. Energies are from SCAN.

The calculated volume is 16.9 A^3/atom. The formation energy from raw total energies is 385 meV per atom.

Cell: 4.3903 4.3903 4.3903 Å, 90.00 90.00 90.00°
Sites, in units of the cell vectors:
1 Na 0.0000 0.0000 0.0000
2 Co 0.5000 0.5000 0.5000
3 Si 0.0000 0.5000 0.5000
4 Si 0.5000 0.0000 0.5000
5 Si 0.5000 0.5000 0.0000

***

Here is a PBEsol-optimized structure of Na3CoSn from Alexandria. Energies are from SCAN.

The value obtained for the formation energy is 79.2 kJ per mole of atoms. The calculated volume is 38.0 A^3/atom.

Cell: 5.7496 5.7496 5.7496 Å, 90.00 90.00 90.00°
Sites, in units of the cell vectors:
1 Na 0.0000 0.0000 0.5000
2 Na 0.0000 0.5000 0.0000
3 Na 0.5000 0.0000 0.0000
4 Co 0.5000 0.5000 0.5000
5 Sn 0.0000 0.0000 0.0000

***

Here is a PBEsol-optimized structure of NaCo2Sn2 from Alexandria. Energies are from SCAN.

The value obtained for the formation energy is 26.9 kJ per mole of atoms. The calculated volume is 18.4 A^3/atom.

Cell: 5.5985 5.5985 5.5985 Å, 133.01 133.01 68.64°
Sites, in units of the cell vectors:
1 Na 0.0000 0.0000 0.0000
2 Co 0.3852 0.3852 0.0000
3 Co 0.6148 0.6148 0.0000
4 Sn 0.2500 0.7500 0.5000
5 Sn 0.7500 0.2500 0.5000

***

Here is a PBEsol-optimized structure of Na2TaCo from Alexandria. Energies are from SCAN.

The value obtained for the formation energy is 171.2 kJ per mole of atoms. The calculated volume is 17.7 A^3/atom.

Cell: 4.6459 4.6459 4.6459 Å, 60.00 60.00 60.00°
Sites, in units of the cell vectors:
1 Na 0.2500 0.2500 0.2500
2 Na 0.7500 0.7500 0.7500
3 Ta 0.0000 0.0000 0.0000
4 Co 0.5000 0.5000 0.5000

***

Here is a PBEsol-optimized structure of Na2YTaCo from Alexandria. Energies are from SCAN.

The value obtained for the formation energy is 203.9 kJ per mole of atoms. The calculated volume is 26.9 A^3/atom.

Cell: 5.1679 5.1679 5.0435 Å, 90.00 90.00 90.00°
Sites, in units of the cell vectors:
1 Na 0.0000 0.5000 0.0000
2 Na 0.5000 0.0000 0.0000
3 Y 0.0000 0.0000 0.0000
4 Ta 0.0000 0.0000 0.5000
5 Co 0.5000 0.5000 0.5000

***

Here is a PBEsol-optimized structure of NaCo3Te from Alexandria. Energies are from SCAN.

The calculated volume is 20.4 A^3/atom. The formation energy from raw total energies is 914 meV per atom.

Cell: 4.6693 4.6693 4.6693 Å, 90.00 90.00 90.00°
Sites, in units of the cell vectors:
1 Na 0.0000 0.0000 0.0000
2 Co 0.0000 0.5000 0.5000
3 Co 0.5000 0.0000 0.5000
4 Co 0.5000 0.5000 0.0000
5 Te 0.5000 0.5000 0.5000

***

Here is a PBEsol-optimized structure of Na3CoTe from Alexandria. Energies are from SCAN.

The calculated volume is 29.7 A^3/atom. The formation energy from raw total energies is 344 meV per atom.

Cell: 5.2935 5.2935 5.2935 Å, 90.00 90.00 90.00°
Sites, in units of the cell vectors:
1 Na 0.0000 0.0000 0.5000
2 Na 0.0000 0.5000 0.0000
3 Na 0.5000 0.0000 0.0000
4 Co 0.0000 0.0000 0.0000
5 Te 0.5000 0.5000 0.5000

***

Here is a PBEsol-optimized structure of NaTi2Co from Alexandria. Energies are from SCAN.

The value obtained for the formation energy is 47.0 kJ per mole of atoms. The calculated volume is 14.8 A^3/atom.

Cell: 4.3746 4.3746 4.3746 Å, 60.00 60.00 60.00°
Sites, in units of the cell vectors:
1 Na 0.0000 0.0000 0.0000
2 Ti 0.2500 0.2500 0.2500
3 Ti 0.7500 0.7500 0.7500
4 Co 0.5000 0.5000 0.5000

***

Here is a PBEsol-optimized structure of Na2TiCo from Alexandria. Energies are from SCAN.

The value obtained for the formation energy is 92.4 kJ per mole of atoms. The calculated volume is 27.0 A^3/atom.

Cell: 7.5299 7.5299 7.5299 Å, 94.27 94.27 148.33°
Sites, in units of the cell vectors:
1 Na 0.3750 0.0112 0.1362
2 Na 0.7612 0.6250 0.6362
3 Na 0.8750 0.2388 0.8638
4 Na 0.9888 0.1250 0.3638
5 Ti 0.2500 0.7500 0.5000
6 Ti 0.5000 0.5000 0.0000
7 Co 0.0000 0.0000 0.0000
8 Co 0.7500 0.2500 0.5000

***

Here is a PBEsol-optimized structure of NaY3Co from Alexandria. Energies are from SCAN.

The value obtained for the formation energy is 125.8 kJ per mole of atoms. The calculated volume is 29.9 A^3/atom.

Cell: 5.3099 5.3099 5.3099 Å, 90.00 90.00 90.00°
Sites, in units of the cell vectors:
1 Na 0.0000 0.0000 0.0000
2 Y 0.0000 0.0000 0.5000
3 Y 0.0000 0.5000 0.0000
4 Y 0.5000 0.0000 0.0000
5 Co 0.5000 0.5000 0.5000

***

Here is a PBEsol-optimized structure of NaZn2Co from Alexandria. Energies are from SCAN.

The value obtained for the formation energy is 39.0 kJ per mole of atoms. The calculated volume is 14.0 A^3/atom.

Cell: 4.2968 4.2968 4.2968 Å, 60.00 60.00 60.00°
Sites, in units of the cell vectors:
1 Na 0.0000 0.0000 0.0000
2 Zn 0.2500 0.2500 0.2500
3 Zn 0.7500 0.7500 0.7500
4 Co 0.5000 0.5000 0.5000

***

Here is a PBEsol-optimized structure of NbCo3 from Alexandria. Energies are from SCAN.

The value obtained for the formation energy is 2.2 kJ per mole of atoms. The calculated volume is 11.6 A^3/atom.

Cell: 3.5935 3.5935 3.5935 Å, 90.00 90.00 90.00°
Sites, in units of the cell vectors:
1 Nb 0.0000 0.0000 0.0000
2 Co 0.0000 0.5000 0.5000
3 Co 0.5000 0.0000 0.5000
4 Co 0.5000 0.5000 0.0000

***

Here is a PBEsol-optimized structure of NbCo3 from Alexandria. Energies are from SCAN.

The value obtained for the formation energy is -1.1 kJ per mole of atoms. The calculated volume is 11.9 A^3/atom.

Cell: 4.6478 4.6478 15.2122 Å, 90.00 90.00 120.00°
Sites, in units of the cell vectors:
1 Nb 0.0000 0.0000 0.0000
2 Nb 0.0000 0.0000 0.1890
3 Nb 0.0000 0.0000 0.5000
4 Nb 0.0000 0.0000 0.6890
5 Nb 0.3333 0.6667 0.4176
6 Nb 0.6667 0.3333 0.9176
7 Co 0.0006 0.5003 0.0898
8 Co 0.1652 0.3303 0.8381
9 Co 0.1652 0.8348 0.8381
10 Co 0.3303 0.1652 0.3381
11 Co 0.3333 0.6667 0.2372
12 Co 0.3333 0.6667 0.7158
13 Co 0.3333 0.6667 0.9642
14 Co 0.5003 0.0006 0.5898
15 Co 0.4997 0.5003 0.0898
16 Co 0.5003 0.4997 0.5898
17 Co 0.4997 0.9994 0.0898
18 Co 0.6667 0.3333 0.2158
19 Co 0.6667 0.3333 0.4642
20 Co 0.6667 0.3333 0.7372
21 Co 0.6697 0.8348 0.8381
22 Co 0.8348 0.1652 0.3381
23 Co 0.8348 0.6697 0.3381
24 Co 0.9994 0.4997 0.5898

***

Here is a PBEsol-optimized structure of NbCo3 from Alexandria. Energies are from SCAN.

The value obtained for the formation energy is 1.8 kJ per mole of atoms. The calculated volume is 11.6 A^3/atom.

Cell: 5.1168 5.1168 4.0902 Å, 90.00 90.00 120.00°
Sites, in units of the cell vectors:
1 Nb 0.3333 0.6667 0.2500
2 Nb 0.6667 0.3333 0.7500
3 Co 0.1570 0.3140 0.7500
4 Co 0.1570 0.8430 0.7500
5 Co 0.3140 0.1570 0.2500
6 Co 0.6860 0.8430 0.7500
7 Co 0.8430 0.1570 0.2500
8 Co 0.8430 0.6860 0.2500

***

Here is a PBEsol-optimized structure of NbCoNi2Se from Alexandria. Energies are from SCAN.

The calculated volume is 15.0 A^3/atom. The formation energy from raw total energies is 659 meV per atom.

Cell: 4.2264 4.2264 4.1973 Å, 90.00 90.00 90.00°
Sites, in units of the cell vectors:
1 Nb 0.0000 0.0000 0.0000
2 Co 0.5000 0.5000 0.0000
3 Ni 0.0000 0.5000 0.5000
4 Ni 0.5000 0.0000 0.5000
5 Se 0.5000 0.5000 0.5000

***

Here is a PBEsol-optimized structure of Nb2CoO6 from Alexandria. Energies are from SCAN.

For the energy above the most stable polymorph in this dataset, the calculation gives 0.0303 eV per atom. The calculated volume is 11.4 A^3/atom. The formation energy from raw total energies is -2399 meV per atom.

Cell: 4.7706 4.7706 8.9787 Å, 90.00 90.00 90.00°
Sites, in units of the cell vectors:
1 Nb 0.0000 0.0000 0.1702
2 Nb 0.0000 0.0000 0.8298
3 Nb 0.5000 0.5000 0.3298
4 Nb 0.5000 0.5000 0.6702
5 Co 0.0000 0.0000 0.5000
6 Co 0.5000 0.5000 0.0000
7 O 0.1959 0.1959 0.0000
8 O 0.2032 0.2032 0.3312
9 O 0.2032 0.2032 0.6688
10 O 0.2968 0.7032 0.1688
11 O 0.2968 0.7032 0.8312
12 O 0.3041 0.6959 0.5000
13 O 0.6959 0.3041 0.5000
14 O 0.7032 0.2968 0.1688
15 O 0.7032 0.2968 0.8312
16 O 0.7968 0.7968 0.3312
17 O 0.7968 0.7968 0.6688
18 O 0.8041 0.8041 0.0000

***

Here is a PBEsol-optimized structure of Nb2CoO6 from Alexandria. Energies are from SCAN.

For the energy above the most stable polymorph in this dataset, the calculation gives 0.0000 eV per atom. The calculated volume is 11.2 A^3/atom. The formation energy from raw total energies is -2429 meV per atom.

Cell: 14.0985 5.6935 5.0068 Å, 90.00 90.00 90.00°
Sites, in units of the cell vectors:
1 Nb 0.1586 0.1806 0.2358
2 Nb 0.1586 0.8194 0.7358
3 Nb 0.3414 0.3194 0.7358
4 Nb 0.3414 0.6806 0.2358
5 Nb 0.6586 0.3194 0.7642
6 Nb 0.6586 0.6806 0.2642
7 Nb 0.8414 0.1806 0.2642
8 Nb 0.8414 0.8194 0.7642
9 Co 0.0000 0.3571 0.7500
10 Co 0.0000 0.6429 0.2500
11 Co 0.5000 0.1429 0.2500
12 Co 0.5000 0.8571 0.7500
13 O 0.0773 0.3821 0.4148
14 O 0.0773 0.6179 0.9148
15 O 0.0926 0.1124 0.9057
16 O 0.0926 0.8876 0.4057
17 O 0.2443 0.1184 0.5668
18 O 0.2443 0.8816 0.0668
19 O 0.2557 0.3816 0.0668
20 O 0.2557 0.6184 0.5668
21 O 0.4074 0.3876 0.4057
22 O 0.4074 0.6124 0.9057
23 O 0.4227 0.1179 0.9148
24 O 0.4227 0.8821 0.4148
25 O 0.5773 0.1179 0.5852
26 O 0.5773 0.8821 0.0852
27 O 0.5926 0.3876 0.0943
28 O 0.5926 0.6124 0.5943
29 O 0.7443 0.3816 0.4332
30 O 0.7443 0.6184 0.9332
31 O 0.7557 0.1184 0.9332
32 O 0.7557 0.8816 0.4332
33 O 0.9074 0.1124 0.5943
34 O 0.9074 0.8876 0.0943
35 O 0.9227 0.3821 0.0852
36 O 0.9227 0.6179 0.5852

***

Here is a PBEsol-optimized structure of Nb2Co4O9 from Alexandria. Energies are from SCAN.

The calculated volume is 10.4 A^3/atom. The formation energy from raw total energies is -1878 meV per atom.

Cell: 5.0308 5.0308 14.2468 Å, 90.00 90.00 120.00°
Sites, in units of the cell vectors:
1 Nb 0.0000 0.0000 0.1449
2 Nb 0.0000 0.0000 0.3551
3 Nb 0.0000 0.0000 0.6449
4 Nb 0.0000 0.0000 0.8551
5 Co 0.3333 0.6667 0.0070
6 Co 0.3333 0.6667 0.3170
7 Co 0.3333 0.6667 0.5070
8 Co 0.3333 0.6667 0.8170
9 Co 0.6667 0.3333 0.1830
10 Co 0.6667 0.3333 0.4930
11 Co 0.6667 0.3333 0.6830
12 Co 0.6667 0.3333 0.9930
13 O 0.0000 0.3049 0.2500
14 O 0.0000 0.6951 0.7500
15 O 0.0120 0.3450 0.9184
16 O 0.0120 0.6670 0.4184
17 O 0.3049 0.0000 0.2500
18 O 0.3049 0.3049 0.7500
19 O 0.3330 0.3450 0.4184
20 O 0.3330 0.9880 0.9184
21 O 0.3450 0.0120 0.5816
22 O 0.3450 0.3330 0.0816
23 O 0.6550 0.6670 0.9184
24 O 0.6550 0.9880 0.4184
25 O 0.6670 0.0120 0.0816
26 O 0.6670 0.6550 0.5816
27 O 0.6951 0.0000 0.7500
28 O 0.6951 0.6951 0.2500
29 O 0.9880 0.3330 0.5816
30 O 0.9880 0.6550 0.0816

***

Here is a PBEsol-optimized structure of Nb2CoO6 from Alexandria. Energies are from SCAN.

For the energy above the most stable polymorph in this dataset, the calculation gives 0.0912 eV per atom. The calculated volume is 11.3 A^3/atom. The formation energy from raw total energies is -2338 meV per atom.

Cell: 5.6223 5.6223 7.3363 Å, 108.40 108.40 73.33°
Sites, in units of the cell vectors:
1 Nb 0.0000 0.0000 0.0000
2 Nb 0.0000 0.0000 0.5000
3 Nb 0.3296 0.3296 0.8190
4 Nb 0.6704 0.6704 0.1810
5 Co 0.3459 0.3459 0.3438
6 Co 0.6541 0.6541 0.6562
7 O 0.0324 0.6351 0.3355
8 O 0.0975 0.0975 0.2964
9 O 0.2281 0.2281 0.0300
10 O 0.3034 0.6966 0.0000
11 O 0.3649 0.9676 0.6645
12 O 0.4327 0.4327 0.6368
13 O 0.5673 0.5673 0.3632
14 O 0.6351 0.0324 0.3355
15 O 0.6966 0.3034 0.0000
16 O 0.7719 0.7719 0.9700
17 O 0.9025 0.9025 0.7036
18 O 0.9676 0.3649 0.6645

***

Here is a PBEsol-optimized structure of Nb2CoPb3O9 from Alexandria. Energies are from SCAN.

The calculated volume is 12.6 A^3/atom. The formation energy from raw total energies is -1874 meV per atom.

Cell: 5.6216 5.6216 6.9099 Å, 90.00 90.00 120.00°
Sites, in units of the cell vectors:
1 Nb 0.3333 0.6667 0.1853
2 Nb 0.6667 0.3333 0.8147
3 Co 0.0000 0.0000 0.5000
4 Pb 0.0000 0.0000 0.0000
5 Pb 0.3333 0.6667 0.6661
6 Pb 0.6667 0.3333 0.3339
7 O 0.0000 0.5000 0.0000
8 O 0.1638 0.3276 0.3356
9 O 0.1638 0.8362 0.3356
10 O 0.3276 0.1638 0.6644
11 O 0.5000 0.0000 0.0000
12 O 0.5000 0.5000 0.0000
13 O 0.6724 0.8362 0.3356
14 O 0.8362 0.1638 0.6644
15 O 0.8362 0.6724 0.6644